The following is a SCAN calculation of a crystal of ZnAg2MoOs relaxed with PBEsol, from Alexandria.

Cell and atoms, written as POSCAR:
```
ZnAg2MoOs
1.0
-3.601 -1.141 -2.278
2.460 -0.534 -3.622
0.702 -4.488 1.138
Mo Os Ag Zn
1 1 2 1
Direct
0.000 0.000 0.500
0.500 0.500 0.500
0.500 0.000 0.000
0.000 0.500 0.000
0.000 0.000 0.000
```

Output
**Space group**: P4/mmm, No. 123
**N(E_F)**: 3.70 states/eV per cell
**ΔH_f (0 K)**: 1.789 eV per atom
**Volume**: 91 Å³/f.u.